No. 1
The following is a DFT calculation (PBE) of a geometry-optimized TaPtI2 structure.

## Properties
ΔE_f (raw): 87.8 kJ per mole of atoms
Total DFT energy (no corrections): -4.3385 eV per atom

extended XYZ file:
```
16
Lattice="6.361 0.000 0.000 0.000 6.361 0.000 0.000 0.000 11.916" Properties=species:S:1:pos:R:3 pbc="T T T"
Ta 0.000 0.000 0.000
Ta 0.000 3.180 2.979
Ta 3.180 0.000 8.937
Ta 3.180 3.180 5.958
Pt 0.000 0.000 5.958
Pt 0.000 3.180 8.937
Pt 3.180 0.000 2.979
Pt 3.180 3.180 0.000
I 1.553 1.590 7.447
I 1.590 4.733 10.426
I 1.590 4.808 4.468
I 1.627 1.590 1.489
I 4.733 4.771 1.489
I 4.771 1.553 4.468
I 4.771 1.627 10.426
I 4.808 4.771 7.447
```



No. 2
The following is a DFT calculation (PBE) of a geometry-optimized Fe2PIrOs structure.

## Properties
Formation energy: 1870 meV per atom
Total DFT energy (no corrections): -6.6151 eV per atom

extended XYZ file:
```
5
Lattice="4.401 0.000 0.000 0.000 4.401 0.000 0.000 0.000 4.773" Properties=species:S:1:pos:R:3 pbc="T T T"
Fe 0.000 2.200 0.000
Fe 2.200 0.000 0.000
P 0.000 0.000 2.387
Ir 2.200 2.200 2.387
Os 2.200 2.200 0.000
```



No. 3
The following is a DFT calculation (PBE) of a geometry-optimized CsIrPd2 structure.

## Properties
Formation energy: 633 meV per atom
Total DFT energy (no corrections): -4.3918 eV per atom

extended XYZ file:
```
16
Lattice="5.569 0.000 0.000 0.000 5.569 0.000 0.000 0.000 16.314" Properties=species:S:1:pos:R:3 pbc="T T T"
Cs 0.000 1.392 6.118
Cs 0.000 4.177 10.196
Cs 2.785 1.392 2.039
Cs 2.785 4.177 14.275
Ir 0.000 1.392 14.275
Ir 0.000 4.177 2.039
Ir 2.785 1.392 10.196
Ir 2.785 4.177 6.118
Pd 0.000 0.000 0.000
Pd 0.000 2.785 0.000
Pd 1.392 1.392 12.235
Pd 1.392 4.177 4.078
Pd 2.785 0.000 8.157
Pd 2.785 2.785 8.157
Pd 4.177 1.392 12.235
Pd 4.177 4.177 4.078
```



No. 4
The following is a DFT calculation (PBE) of a geometry-optimized RbBa2Li3Bi4 structure.

## Properties
Formation energy: -555 meV per atom
Total DFT energy (no corrections): -3.1633 eV per atom

extended XYZ file:
```
10
Lattice="4.937 0.000 0.000 0.000 4.937 0.000 0.000 0.000 13.822" Properties=species:S:1:pos:R:3 pbc="T T T"
Rb 0.000 0.000 0.000
Ba 0.000 2.469 9.999
Ba 2.469 0.000 3.823
Li 0.000 2.469 5.212
Li 2.469 0.000 8.610
Li 2.469 2.469 0.000
Bi 0.000 0.000 6.911
Bi 0.000 2.469 2.432
Bi 2.469 0.000 11.390
Bi 2.469 2.469 6.911
```